Entry from the Alexandria database: crystalline Ce6Al2O at its relaxed geometry (GGA-PBE).

Cell: 6.4427 6.4427 10.0551 Å, 90.00 90.00 90.00°
Last column: nearest neighbours and their distance in Å.
Space group I4/mmm (No. 139)
Unique sites:
1 Ce 0.0000 0.0000 0.2339 (multiplicity 4)  1 O 2.35
2 Ce 0.2238 0.2238 0.5000 (multiplicity 8)  1 O 2.52
3 Al 0.0000 0.5000 0.2500 (multiplicity 4)  12 Ce 3.23-3.40
4 O 0.0000 0.0000 0.0000 (multiplicity 2)  6 Ce 2.35-2.52

Computed properties:
Magnetic moment (μB/cell): 6.42
V (Å³/cell): 417.37
Formation energy (no corrections) (meV per atom): -712

***

Entry from the Alexandria database: crystalline CeAl4O7 at its relaxed geometry (GGA-PBE).

Cell: 12.9221 5.2706 4.9847 Å, 90.00 90.00 90.00°
Last column: nearest neighbours and their distance in Å.
Space group Pmn2_1 (No. 31)
Unique sites:
1 Ce 0.0000 0.0985 0.0000 (multiplicity 2)  1 O 2.29
2 Al 0.1200 0.6678 0.4357 (multiplicity 4)  4 O 1.76-1.83
3 Al 0.2492 0.1690 0.4180 (multiplicity 4)  4 O 1.76-1.82
4 O 0.0000 0.7767 0.3098 (multiplicity 2)  2 Al 1.77
5 O 0.1283 0.7747 0.7716 (multiplicity 4)  2 Al 1.77
6 O 0.1381 0.3483 0.3455 (multiplicity 4)  2 Al 1.76
7 O 0.2171 0.8636 0.2681 (multiplicity 4)  3 Al 1.81-1.83

Computed properties:
Magnetic moment (μB/cell): 3.10
V (Å³/cell): 339.50
Formation energy (no corrections) (meV per atom): -2843

***

Entry from the Alexandria database: crystalline CeAlO3 at its relaxed geometry (GGA-PBE).

Cell: 5.3405 5.3405 7.6601 Å, 90.00 90.00 90.00°
Last column: nearest neighbours and their distance in Å.
Space group I4/mcm (No. 140)
Unique sites:
1 Ce 0.0000 0.5000 0.2500 (multiplicity 4)  8 O 2.49-2.67
2 Al 0.0000 0.0000 0.0000 (multiplicity 4)  6 O 1.91-1.92
3 O 0.0000 0.0000 0.2500 (multiplicity 4)  2 Al 1.92
4 O 0.2115 0.2885 0.0000 (multiplicity 8)  2 Al 1.91

Computed properties:
Magnetic moment (μB/cell): 4.00
V (Å³/cell): 218.47
Formation energy (no corrections) (meV per atom): -3187

***

Q: What is the formation energy (no corrections) in the first record?
A: -712 meV per atom